No. 1
## ZrZn (PBE)

Data for a geometry-optimized ZrZn structure.

a = 5.2569 Å, b = 3.2182 Å, c = 9.4031 Å
α = 90.00°, β = 104.25°, γ = 90.00°
Fractional coordinates of all 8 atoms:
Zr 0.0048 0.2500 0.2755
Zr 0.2612 0.2500 0.0142
Zr 0.7388 0.7500 0.9858
Zr 0.9952 0.7500 0.7245
Zn 0.3036 0.7500 0.5124
Zn 0.4855 0.2500 0.7339
Zn 0.5145 0.7500 0.2661
Zn 0.6964 0.2500 0.4876

Computed properties:
- Calculated volume: 154 Å³/cell
- Total magnetization: 0.000 μB/atom
- ΔH_f (0 K): -0.09 eV per atom

---

No. 2
## LaCe2Pu (PBE)

Data for a geometry-optimized LaCe2Pu structure.

a = 10.3164 Å, b = 10.3164 Å, c = 10.3164 Å
α = 19.99°, β = 19.99°, γ = 19.99°
Fractional coordinates of all 4 atoms:
La 0.0000 0.0000 0.0000
Ce 0.1145 0.1145 0.1145
Ce 0.8855 0.8855 0.8855
Pu 0.5000 0.5000 0.5000

Computed properties:
- Calculated volume: 112 Å³/cell
- Relative energy among the computed polymorphs: 0.303 eV/atom
- Total magnetization: 0.330 μB/atom
- ΔH_f (0 K): 0.42 eV per atom

---

No. 3
## Tb4InTe3 (PBE)

Data for a geometry-optimized Tb4InTe3 structure.

a = 7.6347 Å, b = 7.6347 Å, c = 4.3491 Å
α = 90.00°, β = 90.00°, γ = 108.99°
Fractional coordinates of all 8 atoms:
Tb 0.2424 0.2424 0.5000
Tb 0.2434 0.7566 0.0000
Tb 0.7566 0.2434 0.0000
Tb 0.7576 0.7576 0.5000
In 0.0000 0.0000 0.0000
Te 0.0000 0.5000 0.5000
Te 0.5000 0.0000 0.5000
Te 0.5000 0.5000 0.0000

Computed properties:
- Calculated volume: 240 Å³/cell
- Total magnetization: 0.000 μB/atom
- ΔE_f (raw): -8.88 eV/f.u.

---

No. 4
## YMg3Ga (PBE)

Data for a geometry-optimized YMg3Ga structure.

a = 5.9865 Å, b = 5.9865 Å, c = 5.9865 Å
α = 90.00°, β = 90.00°, γ = 90.00°
Fractional coordinates of all 5 atoms:
Y 0.0000 0.0000 0.0000
Mg 0.0000 0.0000 0.5000
Mg 0.0000 0.5000 0.0000
Mg 0.5000 0.0000 0.0000
Ga 0.5000 0.5000 0.5000

Computed properties:
- Calculated volume: 215 Å³/cell
- Relative energy among the computed polymorphs: 0.931 eV/atom
- Total magnetization: 0.250 μB/atom
- ΔH_f (0 K): 1.08 eV per atom